Version one
Below is an optimized crystal structure of Pr2Sm6Mg, with properties calculated at the PBE level.

POSCAR file:
```
Pr2Sm6Mg
1.0
-0.735 3.407 1.011
-2.496 -2.599 0.430
9.598 -5.178 24.417
Sm Mg Pr
6 1 2
Cartesian
3.508 -3.519 14.404
5.667 -4.684 19.898
-0.335 0.873 3.328
7.289 -3.241 22.724
2.272 -2.853 11.261
0.112 -1.688 5.767
-1.909 -0.597 0.624
1.814 -0.287 8.795
5.140 -2.081 17.257
```

Properties
V = 305.0 Å³ per cell

***

Version two
Below is an optimized crystal structure of Pr2Sm6Mg, with properties calculated at the PBE level.

POSCAR file:
```
Pr2Sm6Mg
1.0
6.273 -0.893 0.305
-2.020 10.337 5.999
-3.380 2.300 10.488
Sm Pr Mg
12 4 2
Cartesian
2.737 5.687 4.676
-1.864 6.057 12.116
2.334 4.290 7.979
-1.266 11.455 14.512
1.395 6.327 10.623
3.022 9.476 10.076
1.977 2.849 11.260
-1.461 7.454 8.814
-0.522 5.417 6.170
-1.104 8.895 5.532
-2.149 2.269 6.716
2.139 0.289 2.281
-0.272 9.264 11.712
-3.578 9.087 13.226
1.145 2.480 5.080
4.451 2.657 3.566
-0.968 4.014 9.464
1.841 7.730 7.328
```

Properties
V = 602.0 Å³ per cell

***

Result of the stability comparison: version two is the most stable of them.